Record 1
BaGeSe2N | Alexandria | PBE-GGA | relaxed; uncorrected formation energy = 0.993 eV/atom; total DFT energy (no corrections) = -3.374 eV/atom
1.0
6.072 0.000 0.000
0.000 6.072 0.000
0.000 0.000 5.062
Ba Ge Se N
1 1 2 1
direct
0.000 0.000 0.000
0.500 0.500 0.500
0.000 0.500 0.000
0.500 0.000 0.000
0.000 0.000 0.500



Record 2
AgPW3 | Alexandria | PBE-GGA | relaxed; ΔE_f = 101.8 kJ per mole of atoms; total DFT energy (no corrections) = -8.369 eV/atom
1.0
4.469 0.000 0.000
0.000 4.469 0.000
0.000 0.000 4.469
Ag P W
1 1 3
direct
0.000 0.000 0.000
0.500 0.500 0.500
0.000 0.500 0.500
0.500 0.000 0.500
0.500 0.500 0.000



Record 3
FePS2Br | Alexandria | PBE-GGA | relaxed; uncorrected formation energy = 0.471 eV/atom; total DFT energy (no corrections) = -4.289 eV/atom
1.0
4.307 0.000 0.000
0.000 4.307 0.000
0.000 0.000 5.035
Fe P S Br
1 1 2 1
direct
0.000 0.000 0.000
0.000 0.000 0.500
0.000 0.500 0.000
0.500 0.000 0.000
0.500 0.500 0.500



Record 4
ScAl4V | Alexandria | PBE-GGA | relaxed; ΔE_f = -23.7 kJ per mole of atoms; total DFT energy (no corrections) = -5.315 eV/atom
1.0
0.000 3.667 3.667
3.667 0.000 3.667
3.667 3.667 0.000
Sc Al V
1 4 1
direct
0.000 0.000 0.000
0.375 0.375 0.375
0.375 0.375 0.874
0.375 0.874 0.375
0.874 0.375 0.375
0.750 0.750 0.750



Record 5
KMg2Mo | Alexandria | PBE-GGA | relaxed; ΔE_f = 70.4 kJ per mole of atoms; total DFT energy (no corrections) = -3.049 eV/atom
1.0
2.871 0.000 0.000
0.000 4.899 0.000
-0.324 0.000 7.940
K Mg Mo
1 2 1
direct
0.000 0.000 0.000
0.531 0.500 0.350
0.554 0.000 0.579
0.066 0.500 0.657



Record 6
BaGaP2 | Alexandria | PBE-GGA | relaxed; ΔE_f = -50.8 kJ per mole of atoms; total DFT energy (no corrections) = -4.469 eV/atom
1.0
-3.688 3.688 3.805
3.688 -3.688 3.805
3.688 3.688 -3.805
Ba Ga P
2 2 4
direct
0.000 0.000 0.000
0.750 0.250 0.500
0.250 0.750 0.500
0.500 0.500 0.000
0.217 0.625 0.092
0.375 0.467 0.592
0.533 0.125 0.908
0.875 0.783 0.408